# 1
TiTlCdGe2: optimized geometry, PBE.

Computed properties:
As for the space group: P4/mmm, No. 123. For the formation enthalpy at 0 K, the calculation gives 886 meV/atom. For the total DFT energy (no corrections), the calculation gives -3.1958 eV per atom. The total magnetization is 0.307 μB/atom.

The structure in POSCAR format:
```
TiTlCdGe2
1.0
-3.109 2.865 -2.838
1.977 -2.240 -4.429
-3.565 -3.628 0.243
Tl Ti Ge Cd
1 1 2 1
Direct
0.500 0.500 0.500
0.000 0.500 0.000
0.000 0.000 0.500
0.500 0.000 0.000
0.000 0.000 0.000
```


# 2
TlZn3I: optimized geometry, PBE.

Computed properties:
As for the space group: Pm-3m, No. 221. The uncorrected formation energy comes out at 1.3 eV per formula unit. For the total DFT energy (no corrections), the calculation gives -1.2962 eV per atom. The total magnetization is 0.000 μB/atom.

The structure in POSCAR format:
```
TlZn3I
1.0
-1.146 4.632 -2.285
-2.709 1.454 4.306
4.398 2.103 2.057
I Tl Zn
1 1 3
Direct
0.500 0.500 0.500
0.000 0.000 0.000
0.000 0.500 0.000
0.000 0.000 0.500
0.500 0.000 0.000
```


These records have theoretical density values of 6.11, 5.91 g/cm3, in the order they appear.